1.
# Mg4Si3

Crystalline Mg4Si3 at its relaxed geometry (PBE, the Alexandria database).

The structure in POSCAR format:
```
Mg4Si3
1.0
-5.451 3.369 1.999
-3.122 -5.490 -1.385
3.087 -1.017 6.190
Si Mg
6 8
Cartesian
-0.522 -4.478 2.658
-0.355 -2.112 1.873
-0.063 -0.814 6.441
-4.425 -1.520 6.602
-2.776 -4.533 3.441
-2.387 -0.240 5.614
-5.156 -0.503 1.951
-0.592 -2.519 4.506
-3.371 2.143 4.503
-2.883 -2.747 1.004
-5.943 -2.868 0.087
2.485 -1.714 5.694
-3.584 -2.070 3.931
-1.642 0.099 2.812
```

Computed properties:
For the formation energy from raw total energies, the calculation gives 0.075 eV per atom. The calculation puts the density of states at the Fermi level at 2.153 states/eV/f.u. The calculation puts the volume at 283.8 Å³/cell.


2.
# CaP2SeS

Crystalline CaP2SeS at its relaxed geometry (PBE, the Alexandria database).

The structure in POSCAR format:
```
CaP2SeS
1.0
-2.167 3.221 2.843
1.898 -2.138 3.870
3.950 2.936 -0.316
P Ca S Se
2 1 1 1
Cartesian
0.949 -1.069 1.935
-1.083 1.611 1.421
1.841 2.010 3.198
1.975 1.468 -0.158
0.000 0.000 0.000
```

Computed properties:
For the formation energy from raw total energies, the calculation gives 0.175 eV per atom. The calculation puts the density of states at the Fermi level at 2.169 states/eV/f.u. The calculation puts the volume at 114.2 Å³/cell.


3.
# B2C

Crystalline B2C at its relaxed geometry (PBE, the Alexandria database).

The structure in POSCAR format:
```
B2C
1.0
-1.343 2.313 3.194
1.343 -2.313 3.194
1.343 2.313 -3.194
C B
2 4
Cartesian
1.343 1.058 1.950
0.000 3.371 1.244
0.000 0.213 4.341
0.000 4.474 0.000
0.000 0.213 2.048
1.343 1.078 0.000
```

Computed properties:
The calculation puts the density of states at the Fermi level at 0.495 states/eV/f.u. The energy of formation is 0.354 eV/atom. The calculation puts the volume at 39.7 Å³/cell.


4.
# Zn2TeAs

Crystalline Zn2TeAs at its relaxed geometry (PBE, the Alexandria database).

The structure in POSCAR format:
```
Zn2TeAs
1.0
-2.842 2.474 -1.127
-2.933 0.924 2.452
1.460 5.997 2.633
Zn Te As
2 1 1
Cartesian
1.351 5.846 2.565
-2.049 4.849 2.047
-1.079 2.349 0.989
-3.236 7.046 2.968
```

Computed properties:
For the formation energy from raw total energies, the calculation gives -0.018 eV per atom. The calculation puts the density of states at the Fermi level at 2.256 states/eV/f.u. The calculation puts the volume at 84.2 Å³/cell.


5.
# LiMg

Crystalline LiMg at its relaxed geometry (PBE, the Alexandria database).

The structure in POSCAR format:
```
LiMg
1.0
3.117 0.000 0.000
1.559 2.700 0.000
1.559 0.900 5.011
Li Mg
1 1
Cartesian
0.000 0.000 0.000
3.117 1.800 2.506
```

Computed properties:
The calculation puts the density of states at the Fermi level at 0.997 states/eV/f.u. The energy of formation is -0.028 eV/atom. The calculation puts the volume at 42.2 Å³/cell.


6.
# DyUTc2

Crystalline DyUTc2 at its relaxed geometry (PBE, the Alexandria database).

The structure in POSCAR format:
```
DyUTc2
1.0
4.800 0.000 0.000
2.400 4.157 0.000
2.400 1.386 3.919
U Dy Tc
1 1 2
Cartesian
4.800 2.771 1.959
0.000 0.000 0.000
2.400 1.386 0.980
7.199 4.157 2.939
```

Computed properties:
The calculation puts the density of states at the Fermi level at 7.257 states/eV/f.u. The energy of formation is 0.041 eV/atom. The calculation puts the volume at 78.2 Å³/cell.


7.
# Zr2CuOs2

Crystalline Zr2CuOs2 at its relaxed geometry (PBE, the Alexandria database).

The structure in POSCAR format:
```
Zr2CuOs2
1.0
7.267 0.000 0.000
0.000 7.267 0.000
0.000 0.000 3.443
Zr Os Cu
4 4 2
Cartesian
6.074 2.441 1.722
4.826 6.074 1.722
1.193 4.826 1.722
2.441 1.193 1.722
2.638 6.271 0.000
0.996 2.638 0.000
6.271 4.629 0.000
4.629 0.996 0.000
0.000 0.000 0.000
3.633 3.633 0.000
```

Computed properties:
The calculation puts the density of states at the Fermi level at 3.764 states/eV/f.u. The energy of formation is -0.012 eV/atom. The calculation puts the volume at 181.8 Å³/cell.


8.
# Sr4LiCa2

Crystalline Sr4LiCa2 at its relaxed geometry (PBE, the Alexandria database).

The structure in POSCAR format:
```
Sr4LiCa2
1.0
4.081 0.000 0.000
0.000 6.680 -0.086
-2.041 -3.136 12.300
Li Sr Ca
1 4 2
Cartesian
0.000 0.000 0.000
0.000 3.395 1.958
0.000 3.472 8.999
2.041 0.072 3.215
2.041 0.149 10.256
2.041 3.436 5.499
0.000 0.108 6.715
```

Computed properties:
The calculation puts the density of states at the Fermi level at 7.563 states/eV/f.u. The energy of formation is 0.080 eV/atom. The calculation puts the volume at 334.2 Å³/cell.


9.
# Tb3Th2Sc8

Crystalline Tb3Th2Sc8 at its relaxed geometry (PBE, the Alexandria database).

The structure in POSCAR format:
```
Tb3Th2Sc8
1.0
-4.107 4.607 0.146
-5.627 -0.804 -2.408
-7.015 -2.411 9.282
Sc Tb Th
8 3 2
Cartesian
-6.502 2.396 2.531
-9.486 1.706 5.768
-3.922 0.607 1.048
-7.263 -0.315 1.251
-10.247 -1.005 4.488
-7.427 -0.602 5.695
-9.322 1.993 1.324
-12.827 0.784 5.972
-4.917 -0.365 3.699
-11.832 1.756 3.321
0.000 0.000 0.000
-9.920 -0.812 7.624
-6.829 2.204 -0.604
```

Computed properties:
The calculation puts the density of states at the Fermi level at 25.539 states/eV/f.u. The energy of formation is 0.285 eV/atom. The calculation puts the volume at 374.1 Å³/cell.


10.
# Ce2Pa2Sb2C

Crystalline Ce2Pa2Sb2C at its relaxed geometry (PBE, the Alexandria database).

The structure in POSCAR format:
```
Ce2Pa2Sb2C
1.0
4.700 0.000 0.000
0.000 4.700 0.000
-2.350 -2.350 8.243
Sb Pa Ce C
2 2 2 1
Cartesian
2.350 2.350 2.320
0.000 0.000 5.922
2.350 0.000 0.000
0.000 2.350 0.000
2.350 2.350 5.609
0.000 0.000 2.633
0.000 0.000 0.000
```

Computed properties:
For the formation energy from raw total energies, the calculation gives -0.659 eV per atom. The calculation puts the density of states at the Fermi level at 14.361 states/eV/f.u. The calculation puts the volume at 182.1 Å³/cell.


11.
# Dy5ZrP6

Crystalline Dy5ZrP6 at its relaxed geometry (PBE, the Alexandria database).

The structure in POSCAR format:
```
Dy5ZrP6
1.0
-4.316 4.641 -2.604
-2.553 -2.323 -5.918
-5.766 -3.692 -0.029
P Dy Zr
6 5 1
Cartesian
-7.294 -3.497 -6.093
-5.192 1.742 -6.451
-5.341 2.124 -2.459
-4.440 -1.447 -4.163
-1.677 0.577 -2.072
-8.195 0.074 -4.389
-2.767 -2.002 -1.986
-6.409 -0.518 -2.320
-5.552 -4.013 -3.961
-6.226 -0.856 -6.232
-3.434 1.159 -4.261
0.000 0.000 0.000
```

Computed properties:
The calculation puts the density of states at the Fermi level at 2.497 states/eV/f.u. The energy of formation is -1.576 eV/atom. The calculation puts the volume at 262.4 Å³/cell.


12.
# Pa6Ir5Pd

Crystalline Pa6Ir5Pd at its relaxed geometry (PBE, the Alexandria database).

The structure in POSCAR format:
```
Pa6Ir5Pd
1.0
8.674 -0.162 -1.279
-4.710 7.286 -1.279
-0.538 -0.968 4.354
Pa Ir Pd
6 5 1
Cartesian
2.815 5.058 -0.840
-1.653 2.923 0.446
5.079 3.234 1.351
0.611 1.098 2.637
3.355 0.136 0.446
0.071 6.021 1.351
0.026 4.651 -1.279
1.713 3.078 0.898
6.532 0.397 0.898
3.938 2.473 -1.279
-3.106 5.760 0.898
0.000 0.000 0.000
```

Computed properties:
The calculation puts the density of states at the Fermi level at 15.586 states/eV/f.u. The energy of formation is -0.656 eV/atom. The calculation puts the volume at 250.2 Å³/cell.


Q: density of states at the Fermi level of number 4 (Zn2TeAs)?
A: 2.256 states/eV/f.u.


Q: Look up the density of states at the Fermi level of the ninth one.
A: 25.539 states/eV/f.u.